No. 1
A plane-wave DFT calculation with PBE with a Hubbard U was carried out for a relaxed structure of SrLiCoO4.

```
7
Lattice="-2.7729 -2.3700 4.2158 4.8363 -1.3393 2.4281 -1.0435 4.8022 -1.6726" Properties=species:S:1:pos:R:3 pbc="T T T"
Sr 0.0000 0.0000 0.0000
Li 1.0317 -1.8547 3.3219
Co 2.4122 0.8041 2.0387
O -0.8339 2.7923 -0.1378
O 2.5119 -0.5698 3.0948
O 0.8173 1.3483 2.4547
O -0.4555 -1.3851 4.5307
```

Results
V ... 15.00 Å³/atom
Total energy ... -0.4105 Ry/atom
Symmetry ... No. 82

---

No. 2
A plane-wave DFT calculation with PBE with a Hubbard U was carried out for a relaxed structure of CoHgN2O.

```
5
Lattice="-2.8308 -2.3940 1.8480 2.6661 -0.7806 3.0728 -1.4681 3.3824 2.1330" Properties=species:S:1:pos:R:3 pbc="T T T"
Co -0.8164 0.1039 3.5269
Hg 0.0000 0.0000 0.0000
O -0.7340 1.6912 1.0665
N 1.3331 -0.3903 1.5364
N -1.4154 -1.1970 0.9240
```

Results
V ... 14.62 Å³/atom
D(E_F) ... 1.1201 states/eV/atom
Total energy ... -0.2384 Ry/atom
Symmetry ... No. 123